# Tb4Nd4Mg, optimized geometry, DFT PBE
# Energy relative to the elements: 0.015 eV/atom
# Space-group type: P-1
# Crystal system: triclinic
# M_tot: 0.00 μB per formula unit
data_Tb4Nd4Mg
_cell_length_a 9.578
_cell_length_b 6.784
_cell_length_c 11.217
_cell_angle_alpha 89.91
_cell_angle_beta 115.42
_cell_angle_gamma 66.25
_symmetry_space_group_name_H-M 'P 1'
_symmetry_Int_Tables_number 1
loop_
_symmetry_equiv_pos_as_xyz
'x,y,z'
loop_
_atom_site_label
_atom_site_type_symbol
_atom_site_fract_x
_atom_site_fract_y
_atom_site_fract_z
Tb1 Tb 0.328 0.069 0.689
Tb2 Tb 0.106 0.608 0.133
Tb3 Tb 0.436 0.284 0.460
Tb4 Tb 0.349 0.268 0.985
Tb5 Tb 0.564 0.716 0.540
Tb6 Tb 0.651 0.732 0.015
Tb7 Tb 0.672 0.931 0.311
Tb8 Tb 0.894 0.392 0.867
Nd1 Nd 0.120 0.815 0.429
Nd2 Nd 0.220 0.843 0.907
Nd3 Nd 0.764 0.966 0.798
Nd4 Nd 0.997 0.386 0.354
Nd5 Nd 0.003 0.614 0.646
Nd6 Nd 0.236 0.034 0.202
Nd7 Nd 0.780 0.157 0.093
Nd8 Nd 0.880 0.185 0.571
Mg1 Mg 0.456 0.495 0.759
Mg2 Mg 0.544 0.505 0.241